[1]
Density functional theory data (PBE-GGA) for a geometry-optimized Sr2ZnNiSe structure.

Values from the calculation:
Calculated total energy = -16.7 eV per cell
Raw formation energy = -562 meV per atom
Spin magnetization = 0.00 Bohr magnetons per cell

a = 5.5561 Å, b = 5.5561 Å, c = 4.5279 Å
α = 90.00°, β = 90.00°, γ = 90.00°
Last column: nearest neighbours and their distance in Å.
Fractional coordinates of all 5 atoms:
1 Sr 0.0000 0.5000 0.0000  2 Ni 2.78
2 Sr 0.5000 0.0000 0.0000  2 Ni 2.78
3 Zn 0.0000 0.0000 0.5000  2 Ni 2.26
4 Ni 0.0000 0.0000 0.0000  2 Zn 2.26
5 Se 0.5000 0.5000 0.5000  8 Sr 3.58, 4 Zn 3.93

[2]
Density functional theory data (PBE-GGA) for a geometry-optimized Zr3Bi structure.

Values from the calculation:
Calculated total energy = -122.0 eV per cell
Spin magnetization = 0.00 Bohr magnetons per cell

a = 8.6620 Å, b = 8.6620 Å, c = 8.6620 Å
α = 96.56°, β = 96.56°, γ = 140.50°
Last column: nearest neighbours and their distance in Å.
Fractional coordinates of all 16 atoms:
1 Zr 0.0417 0.0151 0.5981  3 Bi 2.98-3.17, 3 Zr 3.07-3.27
2 Zr 0.0956 0.2807 0.9760  2 Bi 2.99-3.13, 5 Zr 3.04-3.27
3 Zr 0.3047 0.1195 0.0240  2 Bi 2.99-3.13, 5 Zr 3.04-3.27
4 Zr 0.3812 0.0490 0.3759  4 Bi 3.01-3.03, 3 Zr 3.16-3.27
5 Zr 0.4170 0.4436 0.4019  3 Bi 2.98-3.17, 3 Zr 3.07-3.27
6 Zr 0.5564 0.9583 0.9734  3 Bi 2.98-3.17, 3 Zr 3.07-3.27
7 Zr 0.6730 0.0052 0.6241  4 Bi 3.01-3.03, 3 Zr 3.16-3.27
8 Zr 0.7193 0.6953 0.8149  2 Bi 2.99-3.13, 5 Zr 3.04-3.27
9 Zr 0.8805 0.9044 0.1851  2 Bi 2.99-3.13, 5 Zr 3.04-3.27
10 Zr 0.9510 0.3270 0.3322  4 Bi 3.01-3.03, 3 Zr 3.16-3.27
11 Zr 0.9849 0.5830 0.0266  3 Bi 2.98-3.17, 3 Zr 3.07-3.27
12 Zr 0.9948 0.6188 0.6678  4 Bi 3.01-3.03, 3 Zr 3.16-3.27
13 Bi 0.2403 0.4971 0.6808  9 Zr 2.98-3.17
14 Bi 0.4404 0.7597 0.2568  9 Zr 2.98-3.17
15 Bi 0.5029 0.1836 0.7432  9 Zr 2.98-3.17
16 Bi 0.8164 0.5596 0.3192  9 Zr 2.98-3.17

[3]
Density functional theory data (PBE-GGA) for a geometry-optimized TbPm2Y4 structure.

Values from the calculation:
Calculated total energy = -77.5 eV per cell
Spin magnetization = 0.00 Bohr magnetons per cell
ΔE to the lowest computed polymorph = 137.0 meV per atom

a = 8.9506 Å, b = 8.9506 Å, c = 11.6385 Å
α = 130.51°, β = 130.51°, γ = 44.33°
Last column: nearest neighbours and their distance in Å.
Fractional coordinates of all 14 atoms:
1 Tb 0.2229 0.2229 0.4726  3 Y 3.01-3.34
2 Tb 0.7771 0.7771 0.5274  3 Y 3.01-3.34
3 Pm 0.2220 0.2216 0.9719  2 Y 3.00-3.36
4 Pm 0.7784 0.7780 0.0281  2 Y 3.00-3.36
5 Pm 0.8882 0.1118 0.5000  4 Y 3.29-3.66
6 Pm 0.8892 0.1108 0.0000  4 Y 3.29-3.65
7 Y 0.2149 0.4710 0.3440  1 Tb 3.34, 1 Pm 3.37, 3 Y 3.60-3.71
8 Y 0.2150 0.7842 0.7499  1 Pm 3.00, 1 Tb 3.01, 1 Y 3.01
9 Y 0.2157 0.4696 0.8419  1 Tb 3.34, 1 Pm 3.36, 3 Y 3.60-3.72
10 Y 0.2158 0.7850 0.2501  1 Pm 3.00, 1 Tb 3.01, 1 Y 3.01
11 Y 0.5290 0.7851 0.6560  1 Tb 3.34, 1 Pm 3.37, 3 Y 3.60-3.71
12 Y 0.5304 0.7843 0.1581  1 Tb 3.34, 1 Pm 3.36, 3 Y 3.60-3.72
13 Y 0.6599 0.3372 0.7483  1 Y 3.01, 2 Pm 3.29
14 Y 0.6628 0.3401 0.2517  1 Y 3.01, 2 Pm 3.29

[4]
Density functional theory data (PBE-GGA) for a geometry-optimized Tl2P2S7 structure.

Values from the calculation:
Calculated total energy = -44.7 eV per cell
Raw formation energy = -28 meV per atom
Spin magnetization = 0.00 Bohr magnetons per cell

a = 7.3774 Å, b = 7.3774 Å, c = 5.8103 Å
α = 95.88°, β = 95.88°, γ = 102.46°
Last column: nearest neighbours and their distance in Å.
Fractional coordinates of all 11 atoms:
1 Tl 0.2055 0.7945 0.0000  6 S 2.93-3.04
2 Tl 0.7945 0.2055 0.0000  6 S 2.93-3.04
3 P 0.2747 0.2747 0.5841  4 S 2.01-2.21
4 P 0.7253 0.7253 0.4159  4 S 2.01-2.21
5 S 0.1087 0.4110 0.7585  1 P 2.03
6 S 0.1280 0.1280 0.2883  1 P 2.01
7 S 0.4110 0.1087 0.7585  1 P 2.03
8 S 0.5000 0.5000 0.5000  2 P 2.21
9 S 0.5890 0.8913 0.2415  1 P 2.03
10 S 0.8720 0.8720 0.7117  1 P 2.01
11 S 0.8913 0.5890 0.2415  1 P 2.03